Material: CdO
Method: DFT, PBE-GGA
State: relaxed

Its formation energy without anion corrections is -1.012 eV per atom. The total moment comes out at 0.0 μB/f.u. The calculation puts the calculated volume at 68.4 Å³/cell.

It has space group P6_3mc (No. 186), with a = 3.6853 Å, b = 3.6853 Å, c = 5.8152 Å, α = 90.00°, β = 90.00° and γ = 120.00°. The inequivalent atoms are Cd at (0.3333, 0.6667, 0.0000) and O at (0.3333, 0.6667, 0.6135).